# 1
VASP calculation (SCAN) on a PBEsol-optimized structure of Ag2HgPb.

Cell: 3.311 4.670 5.654 Å, 90.00 106.06 90.00°
Space group Pm (No. 6)
Unique sites:
Ag: 0.000 0.000 0.000 [1 per cell]
Ag: 0.150 0.500 0.293 [1 per cell]
Hg: 0.727 0.000 0.453 [1 per cell]
Pb: 0.417 0.500 0.820 [1 per cell]

The total moment is 0.00 μB/cell. The formation energy comes out at 0.102 eV per atom.



# 2
VASP calculation (SCAN) on a PBEsol-optimized structure of Ag2HgPb.

Cell: 3.335 3.647 6.845 Å, 90.00 90.00 90.00°
Space group Pmmm (No. 47)
Unique sites:
Ag: 0.000 0.000 0.221 [2 per cell]
Hg: 0.500 0.500 0.000 [1 per cell]
Pb: 0.500 0.500 0.500 [1 per cell]

The total moment is 0.00 μB/cell. The formation energy comes out at 0.110 eV per atom.



# 3
VASP calculation (SCAN) on a PBEsol-optimized structure of Ag2HgPb.

Cell: 3.281 3.492 7.396 Å, 90.00 90.00 90.00°
Space group Pmm2 (No. 25)
Unique sites:
Ag: 0.000 0.000 0.000 [1 per cell]
Ag: 0.500 0.500 0.199 [1 per cell]
Hg: 0.000 0.000 0.423 [1 per cell]
Pb: 0.500 0.500 0.741 [1 per cell]

The total moment is 0.00 μB/cell. The formation energy comes out at 0.083 eV per atom.



# 4
VASP calculation (SCAN) on a PBEsol-optimized structure of AgHg2Pb.

Cell: 3.399 4.846 5.682 Å, 90.00 100.60 90.00°
Space group P2/m (No. 10)
Unique sites:
Ag: 0.000 0.000 0.000 [1 per cell]
Hg: 0.177 0.500 0.772 [2 per cell]
Pb: 0.500 0.000 0.500 [1 per cell]

The total moment is 0.00 μB/cell. The formation energy comes out at 0.110 eV per atom.



# 5
VASP calculation (SCAN) on a PBEsol-optimized structure of AgHgPb2.

Cell: 4.821 4.821 8.343 Å, 90.00 90.00 90.00°
Space group I4/mmm (No. 139)
Unique sites:
Ag: 0.000 0.000 0.000 [2 per cell]
Hg: 0.000 0.000 0.500 [2 per cell]
Pb: 0.000 0.500 0.250 [4 per cell]

The total moment is 0.00 μB/cell. The formation energy comes out at 0.127 eV per atom.



# 6
VASP calculation (SCAN) on a PBEsol-optimized structure of Ag2HgPb.

Cell: 3.527 3.527 6.763 Å, 90.00 90.00 90.00°
Space group P4mm (No. 99)
Unique sites:
Ag: 0.000 0.000 0.000 [1 per cell]
Ag: 0.500 0.500 0.202 [1 per cell]
Hg: 0.000 0.000 0.429 [1 per cell]
Pb: 0.500 0.500 0.740 [1 per cell]

The total moment is 0.00 μB/cell. The formation energy comes out at 0.089 eV per atom.



# 7
VASP calculation (SCAN) on a PBEsol-optimized structure of Ag2HgPb.

Cell: 6.960 6.960 6.960 Å, 90.00 90.00 90.00°
Space group F-43m (No. 216)
Unique sites:
Ag: 0.000 0.000 0.000 [4 per cell]
Ag: 0.250 0.250 0.250 [4 per cell]
Hg: 0.250 0.250 0.750 [4 per cell]
Pb: 0.000 0.000 0.500 [4 per cell]

The total moment is 0.00 μB/cell. The formation energy comes out at 0.189 eV per atom.



# 8
VASP calculation (SCAN) on a PBEsol-optimized structure of Ag2HgPd.

Cell: 6.463 6.463 6.463 Å, 90.00 90.00 90.00°
Space group Fm-3m (No. 225)
Unique sites:
Ag: 0.250 0.250 0.250 [8 per cell]
Hg: 0.000 0.000 0.000 [4 per cell]
Pd: 0.000 0.000 0.500 [4 per cell]

The total moment is 0.00 μB/cell. The formation energy comes out at -0.018 eV per atom.



# 9
VASP calculation (SCAN) on a PBEsol-optimized structure of Ag2HgPd2.

Cell: 3.665 3.665 13.490 Å, 90.00 90.00 90.00°
Space group I4/mmm (No. 139)
Unique sites:
Ag: 0.000 0.000 0.100 [4 per cell]
Hg: 0.000 0.000 0.500 [2 per cell]
Pd: 0.000 0.500 0.250 [4 per cell]

The total moment is 0.00 μB/cell. The formation energy comes out at 0.204 eV per atom.



# 10
VASP calculation (SCAN) on a PBEsol-optimized structure of Pr2AgHg.

Cell: 7.494 7.494 7.494 Å, 90.00 90.00 90.00°
Space group Fm-3m (No. 225)
Unique sites:
Pr: 0.250 0.250 0.250 [8 per cell]
Ag: 0.000 0.000 0.000 [4 per cell]
Hg: 0.000 0.000 0.500 [4 per cell]

The total moment is 0.02 μB/cell. The formation energy comes out at -0.495 eV per atom.



# 11
VASP calculation (SCAN) on a PBEsol-optimized structure of Rb3AgHg.

Cell: 6.593 6.593 6.593 Å, 90.00 90.00 90.00°
Space group Pm-3m (No. 221)
Unique sites:
Rb: 0.000 0.000 0.500 [3 per cell]
Ag: 0.000 0.000 0.000 [1 per cell]
Hg: 0.500 0.500 0.500 [1 per cell]

The total moment is 1.07 μB/cell. The formation energy comes out at 0.100 eV per atom.



# 12
VASP calculation (SCAN) on a PBEsol-optimized structure of ReAg3Hg.

Cell: 5.000 5.000 5.000 Å, 90.00 90.00 90.00°
Space group Pm-3m (No. 221)
Unique sites:
Re: 0.000 0.000 0.000 [1 per cell]
Ag: 0.000 0.000 0.500 [3 per cell]
Hg: 0.500 0.500 0.500 [1 per cell]

The total moment is 2.33 μB/cell. The formation energy comes out at 1.626 eV per atom.



# 13
VASP calculation (SCAN) on a PBEsol-optimized structure of AgHgRh.

Cell: 2.960 3.891 8.585 Å, 90.00 90.00 90.00°
Space group Imm2 (No. 44)
Unique sites:
Ag: 0.000 0.000 0.000 [2 per cell]
Hg: 0.000 0.000 0.673 [2 per cell]
Rh: 0.000 0.000 0.336 [2 per cell]

The total moment is 0.00 μB/cell. The formation energy comes out at 0.215 eV per atom.



# 14
VASP calculation (SCAN) on a PBEsol-optimized structure of Ag2HgRh.

Cell: 2.952 4.796 9.452 Å, 90.00 90.00 90.00°
Space group Cmm2 (No. 35)
Unique sites:
Ag: 0.000 0.000 0.000 [2 per cell]
Ag: 0.000 0.500 0.249 [2 per cell]
Hg: 0.000 0.000 0.514 [2 per cell]
Rh: 0.000 0.500 0.759 [2 per cell]

The total moment is 0.00 μB/cell. The formation energy comes out at 0.236 eV per atom.



# 15
VASP calculation (SCAN) on a PBEsol-optimized structure of Ag2HgRh.

Cell: 2.900 4.797 4.817 Å, 90.00 92.30 90.00°
Space group P2/m (No. 10)
Unique sites:
Ag: 0.247 0.000 0.242 [2 per cell]
Hg: 0.000 0.500 0.500 [1 per cell]
Rh: 0.500 0.500 0.000 [1 per cell]

The total moment is 0.00 μB/cell. The formation energy comes out at 0.187 eV per atom.



# 16
VASP calculation (SCAN) on a PBEsol-optimized structure of Ag2HgRh.

Cell: 4.020 4.020 8.149 Å, 90.00 90.00 90.00°
Space group I4/mmm (No. 139)
Unique sites:
Ag: 0.000 0.500 0.250 [4 per cell]
Hg: 0.000 0.000 0.000 [2 per cell]
Rh: 0.000 0.000 0.500 [2 per cell]

The total moment is 0.00 μB/cell. The formation energy comes out at 0.153 eV per atom.



# 17
VASP calculation (SCAN) on a PBEsol-optimized structure of Ag4HgRh.

Cell: 7.462 7.462 7.462 Å, 90.00 90.00 90.00°
Space group F-43m (No. 216)
Unique sites:
Ag: 0.125 0.125 0.125 [16 per cell]
Hg: 0.000 0.000 0.500 [4 per cell]
Rh: 0.250 0.250 0.750 [4 per cell]

The total moment is 0.00 μB/cell. The formation energy comes out at 0.368 eV per atom.



# 18
VASP calculation (SCAN) on a PBEsol-optimized structure of Ag2HgRh.

Cell: 5.606 8.159 2.889 Å, 90.00 90.00 90.00°
Space group Cmmm (No. 65)
Unique sites:
Ag: 0.250 0.250 0.000 [4 per cell]
Hg: 0.000 0.000 0.500 [2 per cell]
Rh: 0.000 0.500 0.500 [2 per cell]

The total moment is 0.00 μB/cell. The formation energy comes out at 0.196 eV per atom.



# 19
VASP calculation (SCAN) on a PBEsol-optimized structure of Ag2HgRhW.

Cell: 4.885 4.885 5.086 Å, 90.00 90.00 90.00°
Space group P4/mmm (No. 123)
Unique sites:
Ag: 0.000 0.500 0.000 [2 per cell]
Hg: 0.000 0.000 0.500 [1 per cell]
Rh: 0.500 0.500 0.500 [1 per cell]
W: 0.000 0.000 0.000 [1 per cell]

The total moment is 0.92 μB/cell. The formation energy comes out at 2.080 eV per atom.



# 20
VASP calculation (SCAN) on a PBEsol-optimized structure of Ag2HgRu.

Cell: 9.484 2.764 5.097 Å, 90.00 99.02 90.00°
Space group Cm (No. 8)
Unique sites:
Ag: 0.000 0.000 0.000 [2 per cell]
Ag: 0.248 0.000 0.768 [2 per cell]
Hg: 0.255 0.500 0.278 [2 per cell]
Ru: 0.003 0.500 0.507 [2 per cell]

The total moment is 0.01 μB/cell. The formation energy comes out at 0.464 eV per atom.



# 21
VASP calculation (SCAN) on a PBEsol-optimized structure of AgHgRu2.

Cell: 2.808 4.708 9.590 Å, 90.00 90.00 90.00°
Space group Cmmm (No. 65)
Unique sites:
Ag: 0.000 0.000 0.000 [2 per cell]
Hg: 0.000 0.000 0.500 [2 per cell]
Ru: 0.000 0.500 0.246 [4 per cell]

The total moment is 5.03 μB/cell. The formation energy comes out at 0.700 eV per atom.



# 22
VASP calculation (SCAN) on a PBEsol-optimized structure of AgHgS2.

Cell: 5.723 5.723 11.409 Å, 90.00 90.00 90.00°
Space group I-42d (No. 122)
Unique sites:
Ag: 0.000 0.000 0.000 [4 per cell]
Hg: 0.000 0.000 0.500 [4 per cell]
S: 0.236 0.250 0.125 [8 per cell]

The total moment is 0.00 μB/cell. For the raw formation energy, the calculation gives 0.010 eV/atom.



# 23
VASP calculation (SCAN) on a PBEsol-optimized structure of Ag2HgSb.

Cell: 3.137 4.228 6.143 Å, 90.00 90.00 90.00°
Space group Pmm2 (No. 25)
Unique sites:
Ag: 0.000 0.000 0.000 [1 per cell]
Ag: 0.500 0.500 0.242 [1 per cell]
Hg: 0.000 0.000 0.462 [1 per cell]
Sb: 0.500 0.500 0.777 [1 per cell]

The total moment is 0.00 μB/cell. For the raw formation energy, the calculation gives 0.110 eV/atom.



# 24
VASP calculation (SCAN) on a PBEsol-optimized structure of AgHgSb2.

Cell: 7.999 3.098 7.760 Å, 90.00 92.74 90.00°
Space group C2/m (No. 12)
Unique sites:
Ag: 0.000 0.000 0.000 [2 per cell]
Hg: 0.000 0.500 0.500 [2 per cell]
Sb: 0.220 0.500 0.221 [4 per cell]

The total moment is 0.00 μB/cell. For the raw formation energy, the calculation gives 0.080 eV/atom.



# 25
VASP calculation (SCAN) on a PBEsol-optimized structure of AgHg2Sb.

Cell: 3.215 4.942 5.884 Å, 90.00 90.13 90.00°
Space group Pm (No. 6)
Unique sites:
Ag: 0.000 0.000 0.000 [1 per cell]
Hg: 0.000 0.000 0.500 [1 per cell]
Hg: 0.500 0.500 0.503 [1 per cell]
Sb: 0.500 0.500 0.003 [1 per cell]

The total moment is 0.00 μB/cell. For the raw formation energy, the calculation gives 0.075 eV/atom.



# 26
VASP calculation (SCAN) on a PBEsol-optimized structure of Ag2HgSb.

Cell: 10.730 3.065 5.099 Å, 90.00 103.91 90.00°
Space group Cm (No. 8)
Unique sites:
Ag: 0.000 0.000 0.000 [2 per cell]
Ag: 0.206 0.500 0.328 [2 per cell]
Hg: 0.461 0.000 0.478 [2 per cell]
Sb: 0.252 0.000 0.850 [2 per cell]

The total moment is 0.00 μB/cell. For the raw formation energy, the calculation gives 0.107 eV/atom.



# 27
VASP calculation (SCAN) on a PBEsol-optimized structure of AgHg2Sb.

Cell: 4.403 4.403 8.936 Å, 90.00 90.00 90.00°
Space group I4/mmm (No. 139)
Unique sites:
Ag: 0.000 0.000 0.000 [2 per cell]
Hg: 0.000 0.500 0.250 [4 per cell]
Sb: 0.000 0.000 0.500 [2 per cell]

The total moment is 0.00 μB/cell. For the raw formation energy, the calculation gives 0.195 eV/atom.



# 28
VASP calculation (SCAN) on a PBEsol-optimized structure of AgHgSb2.

Cell: 3.2309 3.2309 30.6273 Å, 90.00 90.00 120.00°
Space group R3m (No. 160, hexagonal axes)
Unique sites:
Ag: 0.0000 0.0000 0.0000 [3 per cell]
Hg: 0.0000 0.0000 0.7399 [3 per cell]
Sb: 0.0000 0.0000 0.2587 [3 per cell]
Sb: 0.0000 0.0000 0.4930 [3 per cell]

The total moment is 0.00 μB/cell. For the raw formation energy, the calculation gives 0.210 eV/atom.



# 29
VASP calculation (SCAN) on a PBEsol-optimized structure of AgHgSb2.

Cell: 4.365 4.384 9.734 Å, 90.00 90.00 90.00°
Space group Cmm2 (No. 35)
Unique sites:
Ag: 0.000 0.000 0.000 [2 per cell]
Hg: 0.000 0.500 0.212 [2 per cell]
Sb: 0.000 0.000 0.474 [2 per cell]
Sb: 0.000 0.500 0.781 [2 per cell]

The total moment is 0.00 μB/cell. For the raw formation energy, the calculation gives 0.189 eV/atom.



# 30
VASP calculation (SCAN) on a PBEsol-optimized structure of AgHgSb2.

Cell: 6.569 8.698 3.317 Å, 90.00 101.22 90.00°
Space group C2/m (No. 12)
Unique sites:
Ag: 0.000 0.000 0.000 [2 per cell]
Hg: 0.000 0.500 0.000 [2 per cell]
Sb: 0.250 0.250 0.500 [4 per cell]

The total moment is 0.00 μB/cell. For the raw formation energy, the calculation gives 0.232 eV/atom.